(1)
! BOsW, relaxed, DFT GGA-PBE; values from VASP
&SYSTEM
  ibrav = 0, nat = 12, ntyp = 3
/
ATOMIC_SPECIES
B 10.81 B.upf
Os 190.23 Os.upf
W 183.84 W.upf
ATOMIC_POSITIONS crystal
B 0.150 0.000 0.656
B 0.150 0.500 0.156
B 0.908 0.000 0.119
B 0.908 0.500 0.619
Os 0.834 0.000 0.459
Os 0.834 0.500 0.959
Os 0.720 0.000 0.742
Os 0.720 0.500 0.242
W 0.259 0.000 0.321
W 0.259 0.500 0.821
W 0.367 0.000 0.041
W 0.367 0.500 0.541
CELL_PARAMETERS angstrom
4.489 0.000 0.007
0.000 2.892 0.000
-2.460 0.000 11.070
! Calculated density, g/cm3: 17.78
! Energy above the most stable polymorph in this dataset, meV per atom: 60
! Formation enthalpy at 0 K, eV per atom: -0.139
! Total magnetic moment, μB/atom: 0.000
! SG: Cm (8)

=====

(2)
! BOsW2, relaxed, DFT GGA-PBE; values from VASP
&SYSTEM
  ibrav = 0, nat = 8, ntyp = 3
/
ATOMIC_SPECIES
B 10.81 B.upf
Os 190.23 Os.upf
W 183.84 W.upf
ATOMIC_POSITIONS crystal
B 0.500 0.500 0.000
B 0.250 0.750 0.500
Os 0.000 0.000 0.000
Os 0.750 0.250 0.500
W 0.520 0.125 0.250
W 0.230 0.625 0.250
W 0.375 0.480 0.750
W 0.875 0.770 0.750
CELL_PARAMETERS angstrom
7.264 0.000 0.000
0.000 7.264 0.000
3.632 3.632 2.190
! Calculated density, g/cm3: 16.34
! Formation enthalpy at 0 K, eV per atom: 0.390
! Total magnetic moment, μB/atom: 0.000
! SG: I-42d (122)

=====

(3)
! B2OsW2, relaxed, DFT GGA-PBE; values from VASP
&SYSTEM
  ibrav = 0, nat = 10, ntyp = 3
/
ATOMIC_SPECIES
B 10.81 B.upf
Os 190.23 Os.upf
W 183.84 W.upf
ATOMIC_POSITIONS crystal
B 0.383 0.883 0.000
B 0.883 0.617 0.000
B 0.617 0.117 0.000
B 0.117 0.383 0.000
Os 0.000 0.000 0.000
Os 0.500 0.500 0.000
W 0.170 0.670 0.500
W 0.670 0.830 0.500
W 0.830 0.330 0.500
W 0.330 0.170 0.500
CELL_PARAMETERS angstrom
-2.356 4.178 2.865
-5.062 -2.064 -1.153
0.130 -2.038 3.079
! Calculated density, g/cm3: 16.69
! Energy above the most stable polymorph in this dataset, meV per atom: 52
! Formation enthalpy at 0 K, eV per atom: -0.210
! Total magnetic moment, μB/atom: 0.000
! SG: P4/mbm (127)

=====

(4)
! BOsW, relaxed, DFT GGA-PBE; values from VASP
&SYSTEM
  ibrav = 0, nat = 12, ntyp = 3
/
ATOMIC_SPECIES
B 10.81 B.upf
Os 190.23 Os.upf
W 183.84 W.upf
ATOMIC_POSITIONS crystal
B 0.366 0.000 0.042
B 0.366 0.500 0.542
B 0.730 0.000 0.276
B 0.730 0.500 0.776
Os 0.657 0.000 0.567
Os 0.657 0.500 0.067
Os 0.972 0.000 0.999
Os 0.972 0.500 0.499
W 0.116 0.000 0.312
W 0.116 0.500 0.812
W 0.435 0.000 0.756
W 0.435 0.500 0.256
CELL_PARAMETERS angstrom
6.410 0.000 -0.002
0.000 2.866 0.000
-5.940 0.000 7.870
! Calculated density, g/cm3: 17.69
! Energy above the most stable polymorph in this dataset, meV per atom: 79
! Formation enthalpy at 0 K, eV per atom: -0.120
! Total magnetic moment, μB/atom: 0.000
! SG: Cm (8)

=====

(5)
! BOsW, relaxed, DFT GGA-PBE; values from VASP
&SYSTEM
  ibrav = 0, nat = 12, ntyp = 3
/
ATOMIC_SPECIES
B 10.81 B.upf
Os 190.23 Os.upf
W 183.84 W.upf
ATOMIC_POSITIONS crystal
B 0.677 0.000 0.607
B 0.323 0.000 0.393
B 0.677 0.500 0.107
B 0.323 0.500 0.893
Os 0.613 0.000 0.908
Os 0.387 0.000 0.092
Os 0.613 0.500 0.408
Os 0.387 0.500 0.592
W 0.922 0.000 0.345
W 0.078 0.000 0.655
W 0.922 0.500 0.845
W 0.078 0.500 0.155
CELL_PARAMETERS angstrom
6.417 0.000 0.006
0.000 2.834 0.000
-6.023 0.000 7.967
! Calculated density, g/cm3: 17.64
! Energy above the most stable polymorph in this dataset, meV per atom: 68
! Formation enthalpy at 0 K, eV per atom: -0.131
! Total magnetic moment, μB/atom: 0.000
! SG: C2/m (12)

=====

(6)
! BOsW, relaxed, DFT GGA-PBE; values from VASP
&SYSTEM
  ibrav = 0, nat = 6, ntyp = 3
/
ATOMIC_SPECIES
B 10.81 B.upf
Os 190.23 Os.upf
W 183.84 W.upf
ATOMIC_POSITIONS crystal
B 0.000 0.000 0.931
B 0.000 0.500 0.431
Os 0.500 0.000 0.336
Os 0.500 0.500 0.836
W 0.000 0.000 0.622
W 0.000 0.500 0.122
CELL_PARAMETERS angstrom
-2.576 -0.992 -0.655
1.225 -2.111 -1.618
0.241 -5.360 7.175
! Calculated density, g/cm3: 17.17
! Energy above the most stable polymorph in this dataset, meV per atom: 59
! Formation enthalpy at 0 K, eV per atom: -0.140
! Total magnetic moment, μB/atom: 0.000
! SG: Amm2 (38)

=====

(7)
! B2Os2W, relaxed, DFT GGA-PBE; values from VASP
&SYSTEM
  ibrav = 0, nat = 10, ntyp = 3
/
ATOMIC_SPECIES
B 10.81 B.upf
Os 190.23 Os.upf
W 183.84 W.upf
ATOMIC_POSITIONS crystal
B 0.350 0.850 0.000
B 0.850 0.650 0.000
B 0.650 0.150 0.000
B 0.150 0.350 0.000
Os 0.149 0.649 0.500
Os 0.649 0.851 0.500
Os 0.851 0.351 0.500
Os 0.351 0.149 0.500
W 0.000 0.000 0.000
W 0.500 0.500 0.000
CELL_PARAMETERS angstrom
-5.164 3.715 -0.274
-3.711 -5.091 0.927
0.141 0.400 2.759
! Calculated density, g/cm3: 17.19
! Formation enthalpy at 0 K, eV per atom: 0.084
! Total magnetic moment, μB/atom: 0.000
! SG: P4/mbm (127)

=====

(8)
! B3OsW, relaxed, DFT GGA-PBE; values from VASP
&SYSTEM
  ibrav = 0, nat = 5, ntyp = 3
/
ATOMIC_SPECIES
B 10.81 B.upf
Os 190.23 Os.upf
W 183.84 W.upf
ATOMIC_POSITIONS crystal
B 0.000 0.500 0.000
B 0.000 0.000 0.500
B 0.500 0.000 0.000
Os 0.000 0.000 0.000
W 0.500 0.500 0.500
CELL_PARAMETERS angstrom
-3.396 2.064 -0.302
-1.823 -3.217 -1.488
-1.015 -1.130 3.685
! Calculated density, g/cm3: 10.66
! Energy above the most stable polymorph in this dataset, meV per atom: 0
! Formation enthalpy at 0 K, eV per atom: 1.551
! Total magnetic moment, μB/atom: 0.321
! SG: Pm-3m (221)